a:
MgZr2Pa after structural relaxation, computed with PBE.

```
MgZr2Pa
1.0
4.162 0.000 0.000
0.000 4.705 0.000
0.000 0.000 4.705
Pa Zr Mg
1 2 1
Cartesian
2.081 2.353 2.353
0.000 0.000 2.353
0.000 2.353 0.000
2.081 0.000 0.000
```

Output
Space-group type: No. 123

b:
MgZr2Pa after structural relaxation, computed with PBE.

```
MgZr2Pa
1.0
-0.862 -0.663 -2.932
-0.329 -2.271 2.125
-9.945 3.449 2.145
Zr Mg Pa
2 1 1
Cartesian
-2.524 0.875 0.544
-7.421 2.573 1.600
-0.596 -1.467 -0.403
-5.568 0.257 0.669
```

Output
Space-group type: No. 65

Stability check: which of them is most stable? b.

a:
MgZrPa after structural relaxation, computed with PBE.

```
MgZrPa
1.0
3.130 0.000 0.000
-1.565 2.711 0.000
0.000 0.000 8.427
Pa Mg Zr
1 1 1
Cartesian
1.565 0.904 2.854
0.000 0.000 8.357
0.000 1.807 5.644
```

Output
Space-group type: No. 156

b:
MgZrPa after structural relaxation, computed with PBE.

```
MgZrPa
1.0
-0.217 -0.878 -3.035
2.400 -2.062 -0.126
-9.396 -9.971 4.396
Zr Pa Mg
2 2 2
Cartesian
-0.832 -4.542 -1.100
-6.381 -8.370 2.335
-0.321 -1.455 -0.303
-6.892 -11.457 1.539
-3.417 -4.848 1.101
-3.796 -8.063 0.134
```

Output
Space-group type: No. 12

c:
MgZrPa after structural relaxation, computed with PBE.

```
MgZrPa
1.0
-2.092 3.002 -2.166
-1.028 -2.861 -2.973
-6.683 -1.765 4.009
Zr Pa Mg
2 2 2
Cartesian
-3.274 0.913 0.254
-4.969 -2.607 1.186
-1.560 0.070 -2.569
0.000 0.000 0.000
-5.735 0.262 1.730
-2.507 -1.957 -0.290
```

Output
Space-group type: No. 129

d:
MgZrPa after structural relaxation, computed with PBE.

```
MgZrPa
1.0
-0.822 1.320 -2.653
-2.851 -1.102 0.336
-0.147 6.160 4.892
Zr Pa Mg
1 1 1
Cartesian
-2.501 2.208 0.091
-1.301 4.112 2.449
-0.018 0.058 0.035
```

Output
Space-group type: No. 107

Stability check: which of them is most stable? b.

a:
Mg6Pb after structural relaxation, computed with PBE.

```
Mg6Pb
1.0
-5.115 0.622 -2.941
-2.446 -4.235 3.358
-2.976 6.998 6.657
Mg Pb
12 2
Cartesian
-6.959 0.212 2.259
-7.359 1.368 5.025
-3.985 3.915 3.855
-2.541 5.976 5.685
-4.215 -0.785 1.181
-2.771 1.277 3.011
-6.322 4.170 5.894
-6.916 3.580 2.897
-4.956 2.234 1.028
-4.775 -0.746 4.242
-4.428 1.702 5.983
-0.434 1.022 0.972
-2.557 0.311 -1.470
-1.223 -2.117 1.679
```

Output
Space-group type: No. 125

b:
Mg6Pb after structural relaxation, computed with PBE.

```
Mg6Pb
1.0
6.892 0.000 0.000
-2.297 6.498 0.000
-2.297 -3.249 5.627
Pb Mg
1 6
Cartesian
0.000 0.000 0.000
-1.149 3.249 2.814
3.446 0.000 2.814
-1.149 0.812 4.221
1.149 -0.812 4.221
1.149 4.061 1.407
3.446 2.437 1.407
```

Output
Space-group type: No. 229

Stability check: which of them is most stable? a.

a:
MgPb2 after structural relaxation, computed with PBE.

```
MgPb2
1.0
-0.499 1.129 3.295
1.668 -3.042 -0.584
6.976 3.877 -0.273
Pb Mg
2 1
Cartesian
3.166 -0.418 0.622
4.979 2.382 1.816
0.000 0.000 0.000
```

Output
Space-group type: No. 164

b:
MgPb2 after structural relaxation, computed with PBE.

```
MgPb2
1.0
6.080 0.075 0.000
-2.958 5.312 0.000
-1.561 -2.693 5.223
Pb Mg
4 2
Cartesian
0.761 3.157 2.611
-2.259 1.309 4.298
3.820 1.384 0.925
0.800 -0.464 2.611
0.780 1.347 0.000
2.341 4.040 0.000
```

Output
Space-group type: No. 140

c:
MgPb2 after structural relaxation, computed with PBE.

```
MgPb2
1.0
-3.594 6.203 -1.150
-3.831 4.957 3.671
5.800 -4.290 -0.825
Pb Mg
2 1
Cartesian
-2.571 3.865 0.873
-4.853 7.296 1.648
0.000 0.000 0.000
```

Output
Space-group type: No. 139

d:
MgPb2 after structural relaxation, computed with PBE.

```
MgPb2
1.0
5.028 0.000 0.000
0.000 5.028 0.000
0.000 0.000 3.613
Mg Pb
1 2
Cartesian
0.000 0.000 0.000
0.000 2.514 1.807
2.514 0.000 1.807
```

Output
Space-group type: No. 123

Stability check: which of them is most stable? c.